No. 1
# GaCu5Ge, relaxed, DFT GGA-PBE
data_GaCu5Ge
_cell_length_a 5.017
_cell_length_b 7.579
_cell_length_c 5.124
_cell_angle_alpha 90.00
_cell_angle_beta 90.00
_cell_angle_gamma 90.00
_symmetry_space_group_name_H-M 'C m m m'
_symmetry_Int_Tables_number 65
_symmetry_space_group_name_Hall '-C 2 2'
loop_
_atom_site_label
_atom_site_type_symbol
_atom_site_fract_x
_atom_site_fract_y
_atom_site_fract_z
_atom_site_occupancy
Ga1 Ga 0.000 0.000 0.000 1
Cu1 Cu 0.000 0.000 0.500 1
Cu2 Cu 0.250 0.250 0.246 1
Ge1 Ge 0.000 0.500 0.500 1
# raw total energy: -55.83 eV per cell
# energy of formation: 0.030 eV per atom

---

No. 2
# TaTl2Os, relaxed, DFT GGA-PBE
data_TaTl2Os
_cell_length_a 3.298
_cell_length_b 3.298
_cell_length_c 7.064
_cell_angle_alpha 90.00
_cell_angle_beta 90.00
_cell_angle_gamma 90.00
_symmetry_space_group_name_H-M 'P 4/m m m'
_symmetry_Int_Tables_number 123
_symmetry_space_group_name_Hall '-P 4 2'
loop_
_atom_site_label
_atom_site_type_symbol
_atom_site_fract_x
_atom_site_fract_y
_atom_site_fract_z
_atom_site_occupancy
Ta1 Ta 0.000 0.000 0.000 1
Tl1 Tl 0.500 0.500 0.266 1
Os1 Os 0.000 0.000 0.500 1
# E above lowest polymorph: 0.685 eV per atom
# raw total energy: -23.88 eV per cell
# energy of formation: 0.984 eV per atom

---

No. 3
# Na2ThPaTe4, relaxed, DFT GGA-PBE
data_Na2ThPaTe4
_cell_length_a 7.549
_cell_length_b 4.330
_cell_length_c 8.276
_cell_angle_alpha 90.00
_cell_angle_beta 107.49
_cell_angle_gamma 90.00
_symmetry_space_group_name_H-M 'P 1 2/m 1'
_symmetry_Int_Tables_number 10
_symmetry_space_group_name_Hall '-P 2y'
loop_
_atom_site_label
_atom_site_type_symbol
_atom_site_fract_x
_atom_site_fract_y
_atom_site_fract_z
_atom_site_occupancy
Na1 Na 0.000 0.000 0.000 1
Na2 Na 0.500 0.500 0.000 1
Th1 Th 0.000 0.500 0.500 1
Pa1 Pa 0.500 0.000 0.500 1
Te1 Te 0.252 0.000 0.744 1
Te2 Te 0.256 0.500 0.258 1
# raw total energy: -39.87 eV per cell

---

No. 4
# FeOs2Rh, relaxed, DFT GGA-PBE
data_FeOs2Rh
_cell_length_a 2.749
_cell_length_b 4.346
_cell_length_c 9.406
_cell_angle_alpha 90.00
_cell_angle_beta 90.00
_cell_angle_gamma 90.00
_symmetry_space_group_name_H-M 'I m m m'
_symmetry_Int_Tables_number 71
_symmetry_space_group_name_Hall '-I 2 2'
loop_
_atom_site_label
_atom_site_type_symbol
_atom_site_fract_x
_atom_site_fract_y
_atom_site_fract_z
_atom_site_occupancy
Fe1 Fe 0.000 0.000 0.000 1
Os1 Os 0.000 0.500 0.282 1
Rh1 Rh 0.000 0.000 0.500 1
# E above lowest polymorph: 0.193 eV per atom
# raw total energy: -74.38 eV per cell
# energy of formation: 0.272 eV per atom

---

No. 5
# LiHf4Te8, relaxed, DFT GGA-PBE
data_LiHf4Te8
_cell_length_a 13.772
_cell_length_b 7.955
_cell_length_c 9.889
_cell_angle_alpha 90.00
_cell_angle_beta 133.84
_cell_angle_gamma 90.00
_symmetry_space_group_name_H-M 'C 1 2/m 1'
_symmetry_Int_Tables_number 12
_symmetry_space_group_name_Hall '-C 2y'
loop_
_atom_site_label
_atom_site_type_symbol
_atom_site_fract_x
_atom_site_fract_y
_atom_site_fract_z
_atom_site_occupancy
Li1 Li 0.000 0.000 0.000 1
Hf1 Hf 0.000 0.257 0.500 1
Hf2 Hf 0.248 0.500 0.500 1
Te1 Te 0.039 0.000 0.744 1
Te2 Te 0.042 0.500 0.752 1
Te3 Te 0.210 0.253 0.250 1
# E above lowest polymorph: 0.000 eV per atom
# raw total energy: -156.18 eV per cell

---

No. 6
# AcAlSb2, relaxed, DFT GGA-PBE
data_AcAlSb2
_cell_length_a 4.4684
_cell_length_b 4.4684
_cell_length_c 21.5688
_cell_angle_alpha 90.00
_cell_angle_beta 90.00
_cell_angle_gamma 120.00
_symmetry_space_group_name_H-M 'R -3 m'
_symmetry_Int_Tables_number 166
_symmetry_space_group_name_Hall '-R 3 2"'
loop_
_atom_site_label
_atom_site_type_symbol
_atom_site_fract_x
_atom_site_fract_y
_atom_site_fract_z
_atom_site_occupancy
Ac1 Ac 0.0000 0.0000 0.0000 1
Al1 Al 0.0000 0.0000 0.5000 1
Sb1 Sb 0.0000 0.0000 0.2335 1
# E above lowest polymorph: 0.066 eV per atom
# raw total energy: -53.00 eV per cell

---

No. 7
# Pa3FeSn, relaxed, DFT GGA-PBE
data_Pa3FeSn
_cell_length_a 5.016
_cell_length_b 5.016
_cell_length_c 5.016
_cell_angle_alpha 90.00
_cell_angle_beta 90.00
_cell_angle_gamma 90.00
_symmetry_space_group_name_H-M 'P m -3 m'
_symmetry_Int_Tables_number 221
_symmetry_space_group_name_Hall '-P 4 2 3'
loop_
_atom_site_label
_atom_site_type_symbol
_atom_site_fract_x
_atom_site_fract_y
_atom_site_fract_z
_atom_site_occupancy
Pa1 Pa 0.000 0.000 0.500 1
Fe1 Fe 0.000 0.000 0.000 1
Sn1 Sn 0.500 0.500 0.500 1
# raw total energy: -41.24 eV per cell
# energy of formation: -0.057 eV per atom

---

No. 8
# Ti3Zn5Pd2, relaxed, DFT GGA-PBE
data_Ti3Zn5Pd2
_cell_length_a 10.307
_cell_length_b 12.968
_cell_length_c 4.902
_cell_angle_alpha 90.00
_cell_angle_beta 90.00
_cell_angle_gamma 90.00
_symmetry_space_group_name_H-M 'I b a m'
_symmetry_Int_Tables_number 72
_symmetry_space_group_name_Hall '-I 2 2c'
loop_
_atom_site_label
_atom_site_type_symbol
_atom_site_fract_x
_atom_site_fract_y
_atom_site_fract_z
_atom_site_occupancy
Ti1 Ti 0.000 0.000 0.250 1
Ti2 Ti 0.100 0.213 0.000 1
Zn1 Zn 0.000 0.500 0.250 1
Zn2 Zn 0.121 0.347 0.500 1
Zn3 Zn 0.242 0.500 0.250 1
Pd1 Pd 0.163 0.157 0.500 1
# raw total energy: -165.71 eV per cell
# energy of formation: -0.099 eV per atom

---

No. 9
# NaGd2Lu, relaxed, DFT GGA-PBE
data_NaGd2Lu
_cell_length_a 3.488
_cell_length_b 3.488
_cell_length_c 10.698
_cell_angle_alpha 90.00
_cell_angle_beta 90.00
_cell_angle_gamma 90.00
_symmetry_space_group_name_H-M 'P 4/m m m'
_symmetry_Int_Tables_number 123
_symmetry_space_group_name_Hall '-P 4 2'
loop_
_atom_site_label
_atom_site_type_symbol
_atom_site_fract_x
_atom_site_fract_y
_atom_site_fract_z
_atom_site_occupancy
Na1 Na 0.000 0.000 0.000 1
Gd1 Gd 0.500 0.500 0.271 1
Lu1 Lu 0.000 0.000 0.500 1
# E above lowest polymorph: 0.000 eV per atom
# raw total energy: -33.54 eV per cell
# energy of formation: 0.116 eV per atom

---

No. 10
# LuNbNi2, relaxed, DFT GGA-PBE
data_LuNbNi2
_cell_length_a 4.641
_cell_length_b 4.641
_cell_length_c 2.979
_cell_angle_alpha 90.00
_cell_angle_beta 90.00
_cell_angle_gamma 90.00
_symmetry_space_group_name_H-M 'P 4/m m m'
_symmetry_Int_Tables_number 123
_symmetry_space_group_name_Hall '-P 4 2'
loop_
_atom_site_label
_atom_site_type_symbol
_atom_site_fract_x
_atom_site_fract_y
_atom_site_fract_z
_atom_site_occupancy
Lu1 Lu 0.000 0.000 0.000 1
Nb1 Nb 0.500 0.500 0.000 1
Ni1 Ni 0.000 0.500 0.500 1
# E above lowest polymorph: 0.059 eV per atom
# raw total energy: -26.88 eV per cell
# energy of formation: -0.181 eV per atom

---

No. 11
# BaAl2Cd, relaxed, DFT GGA-PBE
data_BaAl2Cd
_cell_length_a 6.882
_cell_length_b 9.703
_cell_length_c 3.299
_cell_angle_alpha 90.00
_cell_angle_beta 90.00
_cell_angle_gamma 90.00
_symmetry_space_group_name_H-M 'C m m m'
_symmetry_Int_Tables_number 65
_symmetry_space_group_name_Hall '-C 2 2'
loop_
_atom_site_label
_atom_site_type_symbol
_atom_site_fract_x
_atom_site_fract_y
_atom_site_fract_z
_atom_site_occupancy
Ba1 Ba 0.000 0.000 0.000 1
Al1 Al 0.250 0.250 0.500 1
Cd1 Cd 0.000 0.500 0.000 1
# raw total energy: -18.70 eV per cell
# energy of formation: 0.243 eV per atom

---

No. 12
# Ta2HgTe, relaxed, DFT GGA-PBE
data_Ta2HgTe
_cell_length_a 3.447
_cell_length_b 5.135
_cell_length_c 9.273
_cell_angle_alpha 90.00
_cell_angle_beta 90.00
_cell_angle_gamma 90.00
_symmetry_space_group_name_H-M 'C m m m'
_symmetry_Int_Tables_number 65
_symmetry_space_group_name_Hall '-C 2 2'
loop_
_atom_site_label
_atom_site_type_symbol
_atom_site_fract_x
_atom_site_fract_y
_atom_site_fract_z
_atom_site_occupancy
Ta1 Ta 0.000 0.000 0.242 1
Hg1 Hg 0.000 0.500 0.500 1
Te1 Te 0.000 0.500 0.000 1
# E above lowest polymorph: 0.434 eV per atom
# raw total energy: -49.36 eV per cell

---

No. 13
# NaTlAs2O6, relaxed, DFT GGA-PBE
data_NaTlAs2O6
_cell_length_a 11.313
_cell_length_b 12.131
_cell_length_c 4.999
_cell_angle_alpha 90.00
_cell_angle_beta 93.77
_cell_angle_gamma 90.00
_symmetry_space_group_name_H-M 'C 1 2/c 1'
_symmetry_Int_Tables_number 15
_symmetry_space_group_name_Hall '-C 2yc'
loop_
_atom_site_label
_atom_site_type_symbol
_atom_site_fract_x
_atom_site_fract_y
_atom_site_fract_z
_atom_site_occupancy
Na1 Na 0.000 0.176 0.250 1
Tl1 Tl 0.000 0.386 0.750 1
As1 As 0.215 0.083 0.742 1
O1 O 0.123 0.184 0.640 1
O2 O 0.138 0.403 0.250 1
O3 O 0.168 0.045 0.071 1
# raw total energy: -221.24 eV per cell

---

No. 14
# LiTc2, relaxed, DFT GGA-PBE
data_LiTc2
_cell_length_a 2.453
_cell_length_b 2.629
_cell_length_c 27.588
_cell_angle_alpha 90.00
_cell_angle_beta 90.00
_cell_angle_gamma 90.00
_symmetry_space_group_name_H-M 'I m m a'
_symmetry_Int_Tables_number 74
_symmetry_space_group_name_Hall '-I 2b 2'
loop_
_atom_site_label
_atom_site_type_symbol
_atom_site_fract_x
_atom_site_fract_y
_atom_site_fract_z
_atom_site_occupancy
Li1 Li 0.000 0.250 0.124 1
Tc1 Tc 0.000 0.250 0.541 1
Tc2 Tc 0.000 0.250 0.705 1
# E above lowest polymorph: 0.370 eV per atom
# raw total energy: -84.96 eV per cell
# energy of formation: 0.468 eV per atom

---

No. 15
# Sn2Pb2S3Br2, relaxed, DFT GGA-PBE
data_Sn2Pb2S3Br2
_cell_length_a 5.409
_cell_length_b 5.409
_cell_length_c 19.338
_cell_angle_alpha 90.00
_cell_angle_beta 90.00
_cell_angle_gamma 90.00
_symmetry_space_group_name_H-M 'I 4/m m m'
_symmetry_Int_Tables_number 139
_symmetry_space_group_name_Hall '-I 4 2'
loop_
_atom_site_label
_atom_site_type_symbol
_atom_site_fract_x
_atom_site_fract_y
_atom_site_fract_z
_atom_site_occupancy
Sn1 Sn 0.000 0.500 0.000 1
Pb1 Pb 0.000 0.000 0.200 1
S1 S 0.000 0.000 0.000 1
S2 S 0.000 0.500 0.250 1
Br1 Br 0.000 0.000 0.410 1
# raw total energy: -68.87 eV per cell

---

No. 16
# CuRe3, relaxed, DFT GGA-PBE
data_CuRe3
_cell_length_a 9.134
_cell_length_b 2.769
_cell_length_c 4.665
_cell_angle_alpha 90.00
_cell_angle_beta 101.02
_cell_angle_gamma 90.00
_symmetry_space_group_name_H-M 'C 1 2/m 1'
_symmetry_Int_Tables_number 12
_symmetry_space_group_name_Hall '-C 2y'
loop_
_atom_site_label
_atom_site_type_symbol
_atom_site_fract_x
_atom_site_fract_y
_atom_site_fract_z
_atom_site_occupancy
Cu1 Cu 0.000 0.000 0.000 1
Re1 Re 0.000 0.500 0.500 1
Re2 Re 0.245 0.000 0.745 1
# raw total energy: -81.01 eV per cell
# energy of formation: 0.233 eV per atom

---

No. 17
# KHg2RhAu, relaxed, DFT GGA-PBE
data_KHg2RhAu
_cell_length_a 5.248
_cell_length_b 5.248
_cell_length_c 5.282
_cell_angle_alpha 90.00
_cell_angle_beta 90.00
_cell_angle_gamma 90.00
_symmetry_space_group_name_H-M 'P 4/m m m'
_symmetry_Int_Tables_number 123
_symmetry_space_group_name_Hall '-P 4 2'
loop_
_atom_site_label
_atom_site_type_symbol
_atom_site_fract_x
_atom_site_fract_y
_atom_site_fract_z
_atom_site_occupancy
K1 K 0.000 0.000 0.000 1
Hg1 Hg 0.000 0.500 0.500 1
Rh1 Rh 0.500 0.500 0.500 1
Au1 Au 0.500 0.500 0.000 1
# raw total energy: -12.58 eV per cell
# energy of formation: -0.050 eV per atom

---

No. 18
# Pr5TlGa4, relaxed, DFT GGA-PBE
data_Pr5TlGa4
_cell_length_a 3.746
_cell_length_b 3.746
_cell_length_c 19.086
_cell_angle_alpha 90.00
_cell_angle_beta 90.00
_cell_angle_gamma 90.00
_symmetry_space_group_name_H-M 'P 4/m m m'
_symmetry_Int_Tables_number 123
_symmetry_space_group_name_Hall '-P 4 2'
loop_
_atom_site_label
_atom_site_type_symbol
_atom_site_fract_x
_atom_site_fract_y
_atom_site_fract_z
_atom_site_occupancy
Pr1 Pr 0.000 0.000 0.000 1
Pr2 Pr 0.000 0.000 0.194 1
Pr3 Pr 0.000 0.000 0.388 1
Tl1 Tl 0.500 0.500 0.500 1
Ga1 Ga 0.500 0.500 0.097 1
Ga2 Ga 0.500 0.500 0.291 1
# raw total energy: -43.50 eV per cell
# energy of formation: -0.513 eV per atom

---

No. 19
# Nd2AgI2, relaxed, DFT GGA-PBE
data_Nd2AgI2
_cell_length_a 4.2782
_cell_length_b 4.2782
_cell_length_c 36.1668
_cell_angle_alpha 90.00
_cell_angle_beta 90.00
_cell_angle_gamma 120.00
_symmetry_space_group_name_H-M 'R -3 m'
_symmetry_Int_Tables_number 166
_symmetry_space_group_name_Hall '-R 3 2"'
loop_
_atom_site_label
_atom_site_type_symbol
_atom_site_fract_x
_atom_site_fract_y
_atom_site_fract_z
_atom_site_occupancy
Nd1 Nd 0.0000 0.0000 0.1158 1
Ag1 Ag 0.0000 0.0000 0.5000 1
I1 I 0.0000 0.0000 0.2762 1
# raw total energy: -58.64 eV per cell

---

No. 20
# AcPmAsP, relaxed, DFT GGA-PBE
data_AcPmAsP
_cell_length_a 4.2746
_cell_length_b 4.2746
_cell_length_c 22.3261
_cell_angle_alpha 90.00
_cell_angle_beta 90.00
_cell_angle_gamma 120.00
_symmetry_space_group_name_H-M 'R 3 m'
_symmetry_Int_Tables_number 160
_symmetry_space_group_name_Hall 'R 3 -2"'
loop_
_atom_site_label
_atom_site_type_symbol
_atom_site_fract_x
_atom_site_fract_y
_atom_site_fract_z
_atom_site_occupancy
Ac1 Ac 0.0000 0.0000 0.0000 1
Pm1 Pm 0.0000 0.0000 0.1670 1
As1 As 0.0000 0.0000 0.5800 1
P1 P 0.0000 0.0000 0.4215 1
# E above lowest polymorph: 0.000 eV per atom
# raw total energy: -72.50 eV per cell
# energy of formation: -1.312 eV per atom

---

No. 21
# MgTa2ZnP, relaxed, DFT GGA-PBE
data_MgTa2ZnP
_cell_length_a 4.839
_cell_length_b 4.839
_cell_length_c 4.419
_cell_angle_alpha 90.00
_cell_angle_beta 90.00
_cell_angle_gamma 90.00
_symmetry_space_group_name_H-M 'P 4/m m m'
_symmetry_Int_Tables_number 123
_symmetry_space_group_name_Hall '-P 4 2'
loop_
_atom_site_label
_atom_site_type_symbol
_atom_site_fract_x
_atom_site_fract_y
_atom_site_fract_z
_atom_site_occupancy
Mg1 Mg 0.000 0.000 0.000 1
Ta1 Ta 0.000 0.500 0.000 1
Zn1 Zn 0.500 0.500 0.500 1
P1 P 0.000 0.000 0.500 1
# raw total energy: -22.99 eV per cell
# energy of formation: 1.798 eV per atom

---

No. 22
# Li4Mg9Cd11, relaxed, DFT GGA-PBE
data_Li4Mg9Cd11
_cell_length_a 14.446
_cell_length_b 21.372
_cell_length_c 3.202
_cell_angle_alpha 90.00
_cell_angle_beta 90.00
_cell_angle_gamma 90.00
_symmetry_space_group_name_H-M 'C m m m'
_symmetry_Int_Tables_number 65
_symmetry_space_group_name_Hall '-C 2 2'
loop_
_atom_site_label
_atom_site_type_symbol
_atom_site_fract_x
_atom_site_fract_y
_atom_site_fract_z
_atom_site_occupancy
Li1 Li 0.151 0.098 0.000 1
Mg1 Mg 0.000 0.000 0.000 1
Mg2 Mg 0.109 0.238 0.000 1
Mg3 Mg 0.136 0.422 0.000 1
Cd1 Cd 0.000 0.135 0.500 1
Cd2 Cd 0.000 0.337 0.500 1
Cd3 Cd 0.000 0.500 0.500 1
Cd4 Cd 0.215 0.000 0.500 1
Cd5 Cd 0.237 0.324 0.500 1
# raw total energy: -70.78 eV per cell
# energy of formation: -0.138 eV per atom

---

No. 23
# Nd5Ga5Ir2, relaxed, DFT GGA-PBE
data_Nd5Ga5Ir2
_cell_length_a 15.324
_cell_length_b 4.455
_cell_length_c 11.127
_cell_angle_alpha 90.00
_cell_angle_beta 130.34
_cell_angle_gamma 90.00
_symmetry_space_group_name_H-M 'C 1 2/m 1'
_symmetry_Int_Tables_number 12
_symmetry_space_group_name_Hall '-C 2y'
loop_
_atom_site_label
_atom_site_type_symbol
_atom_site_fract_x
_atom_site_fract_y
_atom_site_fract_z
_atom_site_occupancy
Nd1 Nd 0.000 0.000 0.000 1
Nd2 Nd 0.117 0.000 0.424 1
Nd3 Nd 0.201 0.000 0.833 1
Ga1 Ga 0.000 0.500 0.500 1
Ga2 Ga 0.051 0.500 0.832 1
Ga3 Ga 0.242 0.500 0.688 1
Ir1 Ir 0.155 0.500 0.263 1
# raw total energy: -128.28 eV per cell
# energy of formation: -0.621 eV per atom

---

No. 24
# Mg2FeRh, relaxed, DFT GGA-PBE
data_Mg2FeRh
_cell_length_a 7.063
_cell_length_b 7.063
_cell_length_c 5.391
_cell_angle_alpha 90.00
_cell_angle_beta 90.00
_cell_angle_gamma 90.00
_symmetry_space_group_name_H-M 'I -4 2 d'
_symmetry_Int_Tables_number 122
_symmetry_space_group_name_Hall 'I -4 2bw'
loop_
_atom_site_label
_atom_site_type_symbol
_atom_site_fract_x
_atom_site_fract_y
_atom_site_fract_z
_atom_site_occupancy
Mg1 Mg 0.245 0.250 0.125 1
Fe1 Fe 0.000 0.000 0.500 1
Rh1 Rh 0.000 0.000 0.000 1
# raw total energy: -71.28 eV per cell
# energy of formation: 0.296 eV per atom